A plane-wave DFT calculation with PBE was carried out for crystalline TaC2BrF at its relaxed geometry.

Computed properties:
The total magnetization comes out at 0.000 μB/cell. The total energy is -0.328 Ry/atom. The density of states at the Fermi level comes out at 2.5 states/eV/cell. As for the uncorrected formation energy: 2.306 eV per atom.

Lattice parameters (Å, degrees): 3.7763 3.7763 4.6942 90.00 90.00 90.00
Last column: nearest neighbours and their distance in Å.
Space group P4/mmm (No. 123)
Unique sites:
Ta  0.0000  0.0000  0.0000 (multiplicity 1)  4 Br 2.67
C  0.0000  0.5000  0.5000 (multiplicity 2)  2 F 1.89
Br  0.5000  0.5000  0.0000 (multiplicity 1)  2 F 2.35
F  0.5000  0.5000  0.5000 (multiplicity 1)  4 C 1.89